ErTm2Mg9: relaxed, PBE.

The value obtained for the energy is -2.37 eV per atom.

a = 4.635 Å, b = 4.635 Å, c = 13.887 Å
α = 90.00°, β = 90.00°, γ = 90.00°
Positions (direct):
Er  0.000  0.000  0.000
Tm  0.000  0.000  0.334
Tm  0.000  0.000  0.666
Mg  0.000  0.500  0.167
Mg  0.000  0.500  0.500
Mg  0.000  0.500  0.833
Mg  0.500  0.000  0.167
Mg  0.500  0.000  0.500
Mg  0.500  0.000  0.833
Mg  0.500  0.500  0.000
Mg  0.500  0.500  0.334
Mg  0.500  0.500  0.666

MnHgPbN2: relaxed, PBE.

The value obtained for the energy is -4.08 eV per atom.

a = 4.291 Å, b = 4.291 Å, c = 5.965 Å
α = 90.00°, β = 90.00°, γ = 90.00°
Positions (direct):
Mn  0.000  0.000  0.000
Hg  0.500  0.500  0.000
Pb  0.500  0.500  0.500
N  0.000  0.500  0.500
N  0.500  0.000  0.500

La2SmGe3Rh4: relaxed, PBE.

The value obtained for the energy is -6.66 eV per atom.

a = 4.249 Å, b = 4.249 Å, c = 11.289 Å
α = 90.00°, β = 90.00°, γ = 90.00°
Positions (direct):
La  0.000  0.500  0.231
La  0.500  0.000  0.769
Sm  0.000  0.000  0.500
Ge  0.000  0.500  0.882
Ge  0.500  0.000  0.118
Ge  0.500  0.500  0.500
Rh  0.000  0.000  0.000
Rh  0.000  0.500  0.662
Rh  0.500  0.000  0.338
Rh  0.500  0.500  0.000

SnOsNO2: relaxed, PBE.

The value obtained for the energy is -5.80 eV per atom.

a = 3.960 Å, b = 3.960 Å, c = 4.275 Å
α = 90.00°, β = 90.00°, γ = 90.00°
Positions (direct):
Sn  0.000  0.000  0.000
Os  0.500  0.500  0.500
N  0.000  0.000  0.500
O  0.000  0.500  0.000
O  0.500  0.000  0.000

CdHg3O: relaxed, PBE.

The value obtained for the relative energy among the computed polymorphs is 0.000 eV/atom.

a = 4.916 Å, b = 4.916 Å, c = 4.916 Å
α = 90.00°, β = 90.00°, γ = 90.00°
Positions (direct):
Cd  0.000  0.000  0.000
Hg  0.000  0.500  0.500
Hg  0.500  0.000  0.500
Hg  0.500  0.500  0.000
O  0.500  0.500  0.500

Sn6Pd3Au: relaxed, PBE.

The value obtained for the energy is -4.59 eV per atom.

a = 7.126 Å, b = 6.600 Å, c = 11.562 Å
α = 90.00°, β = 123.95°, γ = 90.00°
Positions (direct):
Sn  0.077  0.036  0.265
Sn  0.077  0.464  0.765
Sn  0.248  0.127  0.600
Sn  0.248  0.373  0.100
Sn  0.417  0.646  0.578
Sn  0.417  0.854  0.078
Sn  0.583  0.146  0.922
Sn  0.583  0.354  0.422
Sn  0.752  0.627  0.900
Sn  0.752  0.873  0.400
Sn  0.923  0.536  0.235
Sn  0.923  0.964  0.735
Pd  0.309  0.687  0.283
Pd  0.309  0.813  0.783
Pd  0.500  0.000  0.500
Pd  0.500  0.500  0.000
Pd  0.691  0.187  0.217
Pd  0.691  0.313  0.717
Au  0.000  0.000  0.000
Au  0.000  0.500  0.500